No. 1
VASP calculation (PBE-GGA) on crystalline InAu3N5 at its relaxed geometry.

```
9
Lattice="5.403 0.000 0.000 -2.701 4.679 0.000 0.000 0.000 6.614" Properties=species:S:1:pos:R:3 pbc="T T T"
In 0.000 0.000 0.000
Au -1.351 2.339 3.307
Au 2.701 0.000 3.307
Au 1.351 2.339 3.307
N 0.000 0.000 3.307
N 0.000 3.119 0.564
N 0.000 3.119 6.051
N 2.701 1.560 0.564
N 2.701 1.560 6.051
```

Final energy, eV/atom: -5.162

No. 2
VASP calculation (PBE-GGA) on crystalline SmGd at its relaxed geometry.

```
2
Lattice="3.645 0.000 0.000 -1.823 3.157 0.000 0.000 0.000 5.789" Properties=species:S:1:pos:R:3 pbc="T T T"
Sm 0.000 0.000 0.000
Gd 0.000 2.105 2.894
```

Final energy, eV/atom: -4.663
Energy relative to the elements, eV/atom: 0.020

No. 3
VASP calculation (PBE-GGA) on crystalline RbDy at its relaxed geometry.

```
2
Lattice="3.588 0.000 0.000 0.000 3.588 0.000 0.000 0.000 7.071" Properties=species:S:1:pos:R:3 pbc="T T T"
Rb 0.000 0.000 0.000
Dy 1.794 1.794 3.535
```

Final energy, eV/atom: -1.922